# Ca2MgAl2Rh5, optimized geometry, DFT PBE-GGA
data_Ca2MgAl2Rh5
_chemical_formula_sum 'Ca4 Mg2 Al4 Rh10'
_space_group_name_H-M_alt 'P 4/m b m'
_space_group_IT_number 127
_space_group_name_Hall '-P 4 2ab'
_cell_length_a 10.239
_cell_length_b 10.239
_cell_length_c 3.258
_cell_angle_alpha 90.00
_cell_angle_beta 90.00
_cell_angle_gamma 90.00
loop_
_atom_site_label
_atom_site_fract_x
_atom_site_fract_y
_atom_site_fract_z
Ca1 0.173 0.327 0.000
Mg1 0.000 0.000 0.000
Al1 0.128 0.628 0.000
Rh1 0.000 0.500 0.500
Rh2 0.065 0.796 0.500
# Spin magnetization, μB per formula unit: 0.00
# E_tot, eV/atom: -5.60
# V, Å³/atom: 17.1
# Energy of formation from the pure elements, eV/atom: -0.6182
# Theoretical density, g/cm³: 6.54